Here is PrEr2Hg4 after structural relaxation from Alexandria via LeMat-Bulk. Energies are from PBE.

abc: 7.2141 10.7237 5.1252
angles: 90.00 90.00 90.00
Space group Cmmm (No. 65)
Asymmetric unit:
Pr (0.0000, 0.0000, 0.0000) [2 per cell]
Er (0.0000, 0.2558, 0.5000) [4 per cell]
Hg (0.2218, 0.5000, 0.5000) [4 per cell]
Hg (0.2500, 0.2500, 0.0000) [4 per cell]

Calculated formation energy (eV per atom): -0.37
Crystal system: orthorhombic
Fermi-level density of states (states/eV per atom): 0.605
V (Å³/atom): 28.3
Calculated total energy (eV per atom): -2.53